(1)
{
  "formula": "In2ReSb",
  "functional": "GGA-PBEsol",
  "state": "relaxed",
  "lattice_angstrom": [[-1.0529, -0.9536, 2.7200], [1.4915, -4.2668, -2.6496], [5.1146, 3.0548, 3.0509]],
  "species": ["In", "In", "Re", "Sb"],
  "frac_coords": [[0.9820, 0.9640, 0.0127], [0.8129, 0.6258, 0.3580], [0.5526, 0.1053, 0.3880], [0.1525, 0.3050, 0.7413]],
  "formation_energy_uncorrected_ev_per_atom": 0.402,
  "n_ef_per_ev_cell": 3.75
}

(2)
{
  "formula": "Bi2WO6",
  "functional": "GGA-PBEsol",
  "state": "relaxed",
  "lattice_angstrom": [[3.8063, 0.0000, 0.0000], [0.0000, 8.2071, -0.0044], [-1.9032, -1.6493, 7.9044]],
  "species": ["Bi", "Bi", "Bi", "Bi", "W", "W", "O", "O", "O", "O", "O", "O", "O", "O", "O", "O", "O", "O"],
  "frac_coords": [[0.6797, 0.6056, 0.3594], [0.3203, 0.3944, 0.6406], [0.3337, 0.9278, 0.6675], [0.6663, 0.0722, 0.3325], [0.0040, 0.7035, 0.0080], [0.9960, 0.2965, 0.9920], [0.7520, 0.8809, 0.5040], [0.7322, 0.3639, 0.4643], [0.9217, 0.4869, 0.8435], [0.2678, 0.6361, 0.5357], [0.0737, 0.1692, 0.1473], [0.8914, 0.1570, 0.7828], [0.0783, 0.5131, 0.1565], [0.1086, 0.8430, 0.2172], [0.2480, 0.1191, 0.4960], [0.9263, 0.8308, 0.8527], [0.5064, 0.6854, 0.0128], [0.4936, 0.3146, 0.9872]],
  "relative_energy_kj_per_mol_atoms": 0.83,
  "formation_energy_uncorrected_ev_per_atom": -1.720,
  "n_ef_per_ev_cell": 0.00
}

(3)
{
  "formula": "NaTaZnN2",
  "functional": "GGA-PBEsol",
  "state": "relaxed",
  "lattice_angstrom": [[-3.2032, 2.4248, 0.1226], [-2.4026, -3.1950, 0.4172], [0.4145, 0.3078, 4.7442]],
  "species": ["Na", "Zn", "N", "N", "Ta"],
  "frac_coords": [[0.5000, 0.5000, 0.5000], [0.0000, 0.0000, 0.0000], [0.0000, 0.5000, 0.0000], [0.5000, 0.0000, 0.0000], [0.0000, 0.0000, 0.5000]],
  "formation_energy_uncorrected_ev_per_atom": 2.099,
  "n_ef_per_ev_cell": 4.39
}

(4)
{
  "formula": "YAlPtF2",
  "functional": "GGA-PBEsol",
  "state": "relaxed",
  "lattice_angstrom": [[4.4012, 0.0000, 0.0000], [0.0000, 4.4012, 0.0000], [0.0000, 0.0000, 4.7877]],
  "species": ["Y", "Al", "Pt", "F", "F"],
  "frac_coords": [[0.5000, 0.5000, 0.5000], [0.0000, 0.0000, 0.5000], [0.0000, 0.0000, 0.0000], [0.0000, 0.5000, 0.0000], [0.5000, 0.0000, 0.0000]],
  "formation_energy_uncorrected_ev_per_atom": -0.675,
  "n_ef_per_ev_cell": 2.73
}

(5)
{
  "formula": "Zr2CoRh",
  "functional": "GGA-PBEsol",
  "state": "relaxed",
  "lattice_angstrom": [[-2.1706, 0.9091, -2.1595], [-2.3181, -1.2740, 1.7937], [-0.6958, 5.5429, 3.0377]],
  "species": ["Rh", "Co", "Zr", "Zr"],
  "frac_coords": [[0.5000, 0.5000, 0.5000], [0.5000, 0.5000, 0.0000], [0.0003, 0.0000, 0.7597], [0.9997, 0.0000, 0.2403]],
  "relative_energy_kj_per_mol_atoms": 1.84,
  "n_ef_per_ev_cell": 4.03
}

(6)
{
  "formula": "CdCo3S",
  "functional": "GGA-PBEsol",
  "state": "relaxed",
  "lattice_angstrom": [[-3.4195, 2.9910, -0.7954], [-3.0884, -3.3747, 0.5873], [-0.2011, 0.9681, 4.5049]],
  "species": ["S", "Co", "Co", "Co", "Cd"],
  "frac_coords": [[0.5000, 0.5000, 0.5000], [0.0000, 0.5000, 0.0000], [0.0000, 0.0000, 0.5000], [0.5000, 0.0000, 0.0000], [0.0000, 0.0000, 0.0000]],
  "formation_energy_uncorrected_ev_per_atom": 1.928,
  "n_ef_per_ev_cell": 12.24
}

Looking at volume for the records above, in order, we have 94.2, 246.9, 77.1, 92.7, 64.9, 98.1 Å³ per cell.